1.
The following is a PBE calculation of a geometry-optimized Li3ZnSi structure, from the Alexandria database.

Cell: 6.361 6.361 6.361 Å, 85.31 118.28 127.44°
Sites, in units of the cell vectors:
Li 0.034 0.254 0.723
Li 0.034 0.811 0.280
Li 0.531 0.754 0.720
Li 0.106 0.281 0.325
Li 0.531 0.311 0.277
Li 0.955 0.781 0.675
Zn 0.531 0.031 0.000
Zn 0.031 0.531 0.000
Si 0.576 0.781 0.294
Si 0.487 0.281 0.706

Output
Space group ... Ima2
Energy relative to the elements, uncorrected ... -0.07 eV/atom
V ... 17.19 Å³ per atom
E above lowest polymorph ... 0.0798 eV per atom

2.
The following is a PBE calculation of a geometry-optimized LiZn4Si structure, from the Alexandria database.

Cell: 5.140 5.140 5.140 Å, 60.00 60.00 60.00°
Sites, in units of the cell vectors:
Li 0.250 0.250 0.250
Zn 0.625 0.625 0.126
Zn 0.625 0.126 0.625
Zn 0.625 0.625 0.625
Zn 0.126 0.625 0.625
Si 0.000 0.000 0.000

Output
Space group ... F-43m
Energy relative to the elements, uncorrected ... 0.08 eV/atom
V ... 16.00 Å³ per atom

3.
The following is a PBE calculation of a geometry-optimized Li6ZnSi2 structure, from the Alexandria database.

Cell: 4.488 4.488 8.930 Å, 75.45 75.45 60.00°
Sites, in units of the cell vectors:
Li 0.578 0.578 0.265
Li 0.808 0.808 0.576
Li 0.708 0.708 0.876
Li 0.192 0.192 0.424
Li 0.422 0.422 0.735
Li 0.292 0.292 0.124
Zn 0.000 0.000 0.000
Si 0.909 0.909 0.272
Si 0.091 0.091 0.728

Output
Space group ... R-3m
Energy relative to the elements, uncorrected ... -0.21 eV/atom
V ... 16.56 Å³ per atom
E above lowest polymorph ... 0.0000 eV per atom

4.
The following is a PBE calculation of a geometry-optimized LiZnSi3 structure, from the Alexandria database.

Cell: 4.743 4.743 4.743 Å, 90.00 90.00 90.00°
Sites, in units of the cell vectors:
Zn 0.000 0.000 0.000
Si 0.000 0.500 0.000
Si 0.000 0.000 0.500
Si 0.500 0.000 0.000
Li 0.500 0.500 0.500

Output
Space group ... Pm-3m
Energy relative to the elements, uncorrected ... 0.80 eV/atom
V ... 21.34 Å³ per atom
E above lowest polymorph ... 0.0000 eV per atom

5.
The following is a PBE calculation of a geometry-optimized Li6ZnSi2 structure, from the Alexandria database.

Cell: 2.559 7.573 7.573 Å, 120.00 90.01 90.00°
Sites, in units of the cell vectors:
Li 0.499 0.339 0.339
Li 0.501 0.000 0.661
Li 0.501 0.661 0.661
Li 0.500 0.339 0.000
Li 0.499 0.000 0.339
Li 0.500 0.661 0.000
Zn 0.000 0.000 0.000
Si 0.000 0.667 0.333
Si 0.000 0.333 0.667

Output
Space group ... P6/mmm
Energy relative to the elements, uncorrected ... -0.18 eV/atom
V ... 14.12 Å³ per atom
E above lowest polymorph ... 0.0320 eV per atom

6.
The following is a PBE calculation of a geometry-optimized LiZnSi structure, from the Alexandria database.

Cell: 4.671 4.671 4.671 Å, 145.55 129.98 62.15°
Sites, in units of the cell vectors:
Li 0.999 0.999 0.000
Si 0.332 0.332 0.000
Zn 0.669 0.669 0.000

Output
Space group ... Imm2
Energy relative to the elements, uncorrected ... -0.02 eV/atom
V ... 14.57 Å³ per atom

7.
The following is a PBE calculation of a geometry-optimized LiZn2Si structure, from the Alexandria database.

Cell: 4.388 4.388 3.195 Å, 90.00 90.00 104.43°
Sites, in units of the cell vectors:
Li 0.500 0.000 0.500
Si 0.000 0.500 0.500
Zn 0.000 0.000 0.000
Zn 0.500 0.500 0.000

Output
Space group ... Cmmm
Energy relative to the elements, uncorrected ... 0.02 eV/atom
V ... 14.89 Å³ per atom

8.
The following is a PBE calculation of a geometry-optimized LiZr3Si structure, from the Alexandria database.

Cell: 5.024 5.024 5.024 Å, 90.00 90.00 90.00°
Sites, in units of the cell vectors:
Si 0.000 0.000 0.000
Zr 0.000 0.500 0.000
Zr 0.000 0.000 0.500
Zr 0.500 0.000 0.000
Li 0.500 0.500 0.500

Output
Space group ... Pm-3m
Energy relative to the elements, uncorrected ... 0.29 eV/atom
V ... 25.36 Å³ per atom

9.
The following is a PBE calculation of a geometry-optimized Li2ZrSi structure, from the Alexandria database.

Cell: 10.050 10.050 10.050 Å, 16.50 16.50 16.50°
Sites, in units of the cell vectors:
Li 0.012 0.012 0.012
Li 0.488 0.488 0.488
Si 0.750 0.750 0.750
Zr 0.250 0.250 0.250

Output
Space group ... R-3m
Energy relative to the elements, uncorrected ... 0.10 eV/atom
V ... 17.86 Å³ per atom

10.
The following is a PBE calculation of a geometry-optimized LiZrSi2 structure, from the Alexandria database.

Cell: 4.366 4.366 4.764 Å, 69.83 69.83 50.81°
Sites, in units of the cell vectors:
Li 0.250 0.250 0.250
Si 0.988 0.988 0.088
Si 0.512 0.512 0.412
Zr 0.750 0.750 0.750

Output
Space group ... C2/m
Energy relative to the elements, uncorrected ... -0.35 eV/atom
V ... 16.27 Å³ per atom
E above lowest polymorph ... 0.0466 eV per atom

11.
The following is a PBE calculation of a geometry-optimized Li4ZrSi structure, from the Alexandria database.

Cell: 5.086 5.086 5.086 Å, 60.00 60.00 60.00°
Sites, in units of the cell vectors:
Li 0.870 0.377 0.377
Li 0.377 0.377 0.870
Li 0.377 0.870 0.377
Li 0.377 0.377 0.377
Zr 0.000 0.000 0.000
Si 0.750 0.750 0.750

Output
Space group ... F-43m
Energy relative to the elements, uncorrected ... 0.17 eV/atom
V ... 15.50 Å³ per atom

12.
The following is a PBE calculation of a geometry-optimized LiZrSi2 structure, from the Alexandria database.

Cell: 5.298 5.298 3.977 Å, 67.96 67.96 39.47°
Sites, in units of the cell vectors:
Li 0.247 0.247 0.253
Si 0.036 0.036 0.964
Si 0.729 0.729 0.771
Zr 0.489 0.489 0.511

Output
Space group ... Imm2
Energy relative to the elements, uncorrected ... -0.40 eV/atom
V ... 16.27 Å³ per atom
E above lowest polymorph ... 0.0000 eV per atom